Material: Pm4NiIr
Method: DFT, PBE
State: optimized geometry

```
12
Lattice="6.159 0.190 -2.183 -2.489 6.215 -2.976 0.040 0.224 8.169" Properties=species:S:1:pos:R:3 pbc="T T T"
Pm -0.514 1.659 6.472
Pm 3.192 4.502 1.438
Pm 0.732 4.274 4.451
Pm -0.227 6.149 1.575
Pm 3.937 0.480 1.435
Pm 2.978 2.356 -1.441
Pm 0.518 2.128 1.572
Pm 4.224 4.971 -3.462
Ni 1.558 0.081 -0.491
Ni 2.152 6.549 3.501
Ir 0.808 4.093 -0.504
Ir 2.902 2.537 3.514
```

Computed properties:
The value obtained for the density of states at the Fermi level is 6.0 states/eV/f.u. The calculated volume is 322 Å³/cell. The calculated density comes out at 8.56 g/cm3. The formation energy comes out at -216 kJ/mol of formula units. Its energy above the most stable polymorph in this dataset is 0 meV/atom.